Below is a relaxed TiHgSe2Br crystal, with properties calculated at the PBE level.

Computed properties:
total magnetization: 0.000 μB/f.u.
total DFT energy (no corrections): -19.16 eV per cell
formation energy without anion corrections: -0.464 eV per atom
polymorph energy (0 for the lowest one): 0.0000 eV per atom

Structure (CIF):
```
data_TiHgSe2Br
_chemical_formula_sum 'Ti1 Hg1 Se2 Br1'
_cell_length_a 4.958
_cell_length_b 4.958
_cell_length_c 5.302
_cell_angle_alpha 90.00
_cell_angle_beta 90.00
_cell_angle_gamma 90.00
_space_group_name_H-M_alt 'P 4/m m m'
_space_group_IT_number 123
_space_group_name_Hall '-P 4 2'
loop_
_atom_site_label
_atom_site_type_symbol
_atom_site_fract_x
_atom_site_fract_y
_atom_site_fract_z
Ti1 Ti 0.000 0.000 0.000
Hg1 Hg 0.500 0.500 0.500
Se1 Se 0.000 0.500 0.000
Br1 Br 0.000 0.000 0.500
```